# CuNi2P (GGA-PBE, relaxed)
# total energy	-21.18	eV/f.u.
# density of states at the Fermi level	11.01	states/eV/cell
# calculated density	7.78	Mg/m³
# formation energy from the elements	-10	kJ/mol of formula units
data_CuNi2P
_chemical_formula_sum 'Cu4 Ni8 P4'
_cell_length_a 5.655
_cell_length_b 5.655
_cell_length_c 5.655
_cell_angle_alpha 90.00
_cell_angle_beta 90.00
_cell_angle_gamma 90.00
_space_group_name_H-M_alt 'F -4 3 m'
_space_group_IT_number 216
_space_group_name_Hall 'F -4 2 3'
loop_
_atom_site_label
_atom_site_type_symbol
_atom_site_fract_x
_atom_site_fract_y
_atom_site_fract_z
Cu1 Cu 0.000 0.000 0.000
Ni1 Ni 0.000 0.000 0.500
Ni2 Ni 0.250 0.250 0.750
P1 P 0.250 0.250 0.250

=====

# CuNiP (GGA-PBE, relaxed)
# total energy	-15.36	eV/f.u.
# density of states at the Fermi level	1.60	states/eV/cell
# calculated density	6.97	Mg/m³
# formation energy from the elements	-7	kJ/mol of formula units
data_CuNiP
_chemical_formula_sum 'Cu1 Ni1 P1'
_cell_length_a 2.7460
_cell_length_b 2.7460
_cell_length_c 5.5921
_cell_angle_alpha 90.00
_cell_angle_beta 90.00
_cell_angle_gamma 120.00
_space_group_name_H-M_alt 'P 3 m 1'
_space_group_IT_number 156
_space_group_name_Hall 'P 3 -2"'
loop_
_atom_site_label
_atom_site_type_symbol
_atom_site_fract_x
_atom_site_fract_y
_atom_site_fract_z
Cu1 Cu 0.0000 0.0000 0.0000
Ni1 Ni 0.6667 0.3333 0.3639
P1 P 0.3333 0.6667 0.6480

=====

Among the records above, which one has the lowest formation energy from the elements?
CuNi2P